1.
The following is a PBE calculation of crystalline Pm3BPd2Rh3 at its relaxed geometry, from Alexandria via LeMat-Bulk.

Geometry as extended XYZ:
```
9
Lattice="-3.421 0.059 0.810 -0.878 -6.620 -3.228 1.712 0.415 7.205" Properties=species:S:1:pos:R:3 pbc="T T T"
Pm 0.520 -3.864 2.477
Rh -2.401 -5.179 -2.134
B 0.000 0.000 0.000
Pd -1.725 -4.246 0.655
Pm -0.331 -2.498 -1.218
Rh -1.532 -1.294 1.253
Rh -0.363 0.356 6.073
Pm 0.646 0.157 2.718
Pd -0.862 -1.900 4.132
```

Properties
Symmetry: P-62m (189)
Size of the total moment (μB/f.u.): 0.00
Electronic total energy (eV/cell): -59.412

***

2.
The following is a PBE calculation of crystalline Pm3B2PdRh9 at its relaxed geometry, from Alexandria via LeMat-Bulk.

Geometry as extended XYZ:
```
15
Lattice="-1.948 5.009 -2.229 1.007 -4.542 -3.494 -8.285 -2.714 1.140" Properties=species:S:1:pos:R:3 pbc="T T T"
B -8.036 -0.492 -1.677
Pd -4.142 -1.357 0.570
Rh -0.974 2.505 -1.114
Pm -5.217 -3.075 -2.351
B -1.189 -1.755 -2.906
Rh -7.496 1.478 -1.605
Rh -1.729 -3.725 -2.978
Rh -2.725 -1.163 -4.118
Rh 0.504 -2.271 -1.747
Rh -0.470 0.234 -2.861
Rh -6.500 -1.083 -0.466
Rh -2.244 -1.402 -1.191
Pm 0.000 0.000 0.000
Rh -6.981 -0.844 -3.392
Pm -4.008 0.828 -2.232
```

Properties
Symmetry: P-3m1 (164)
Size of the total moment (μB/f.u.): 0.00
Electronic total energy (eV/cell): -105.656

***

3.
The following is a PBE calculation of crystalline Pr2BPd4 at its relaxed geometry, from Alexandria via LeMat-Bulk.

Geometry as extended XYZ:
```
7
Lattice="4.236 0.000 0.000 0.000 4.236 0.000 2.118 2.118 7.923" Properties=species:S:1:pos:R:3 pbc="T T T"
B 0.000 0.000 0.000
Pd 2.118 2.118 5.776
Pd 2.118 0.000 0.000
Pr 2.118 2.118 2.553
Pd 4.236 4.236 2.147
Pd 0.000 2.118 0.000
Pr 4.236 4.236 5.369
```

Properties
Symmetry: I4/mmm (139)
Size of the total moment (μB/f.u.): 0.00
Electronic total energy (eV/cell): -41.007